[1]
First-principles (PBE) data for a relaxed structure of BaSrSc2Si, as listed in Alexandria via LeMat-Bulk.

Cell and atoms, written as POSCAR:
```
BaSrSc2Si
1.0
5.4982 0.0000 0.0000
0.0000 5.7413 0.0000
0.0000 0.0000 5.4982
Sr Sc Si Ba
1 2 1 1
Direct
0.5000 0.5000 0.5000
0.0000 0.0000 0.5000
0.5000 0.0000 0.0000
0.0000 0.5000 0.0000
0.0000 0.0000 0.0000
```

Summary:
**Raw total energy**: -16.7 eV for the cell shown
**M_tot**: 0.0 μB per cell
**E_form (uncorrected)**: 995 meV/atom
**N(E_F)**: 4.484 states/eV/cell
**SG**: No. 123

***

[2]
First-principles (PBE) data for a relaxed structure of ThScAg2, as listed in Alexandria via LeMat-Bulk.

Cell and atoms, written as POSCAR:
```
ThScAg2
1.0
-1.7005 3.3467 3.4862
-4.0271 2.9828 -1.0635
-4.4779 -0.8067 2.3544
Th Sc Ag
1 1 2
Direct
0.5000 0.5000 0.5000
0.0000 0.0000 0.0000
0.2500 0.2500 0.2500
0.7500 0.7500 0.7500
```

Summary:
**E above lowest polymorph**: 0.0688 eV/atom
**Raw total energy**: -19.8 eV for the cell shown
**M_tot**: 0.0 μB per cell
**Formation energy**: -0.4 eV/f.u.
**N(E_F)**: 5.128 states/eV/cell
**SG**: No. 225

***

[3]
First-principles (PBE) data for a relaxed structure of Sm3Cd5Rh2, as listed in Alexandria via LeMat-Bulk.

Cell and atoms, written as POSCAR:
```
Sm3Cd5Rh2
1.0
-1.6038 -2.8537 5.2962
1.9353 -9.1182 -0.6673
7.1961 0.2214 5.9582
Cd Sm Rh
10 6 4
Direct
0.4877 0.2623 0.2623
0.2500 0.5000 0.5000
0.5978 0.2422 0.5621
0.0978 0.5621 0.2422
0.9022 0.4379 0.7578
0.9877 0.2623 0.2623
0.0123 0.7377 0.7377
0.7500 0.5000 0.5000
0.4022 0.7578 0.4379
0.5123 0.7377 0.7377
0.6513 0.5984 0.0990
0.8487 0.9010 0.4016
0.3487 0.4016 0.9010
0.7500 0.0000 0.0000
0.2500 0.0000 0.0000
0.1513 0.0990 0.5984
0.3616 0.0030 0.2739
0.6384 0.9970 0.7261
0.8616 0.2739 0.0030
0.1384 0.7261 0.9970
```

Summary:
**Raw total energy**: -72.8 eV for the cell shown
**M_tot**: 0.0 μB per cell
**Formation energy**: -3.0 eV/f.u.
**N(E_F)**: 13.473 states/eV/cell
**SG**: No. 72

***

[4]
First-principles (PBE) data for a relaxed structure of Cs2YScF6, as listed in Alexandria via LeMat-Bulk.

Cell and atoms, written as POSCAR:
```
Cs2YScF6
1.0
6.4462 0.0000 0.0000
0.0000 6.4462 0.0000
3.2231 3.2231 4.5612
Cs F Sc Y
2 6 1 1
Direct
0.7500 0.2500 0.5000
0.2500 0.7500 0.5000
0.2528 0.2528 0.0000
0.2526 0.2526 0.4947
0.7474 0.7474 0.5053
0.7472 0.2528 0.0000
0.2528 0.7472 0.0000
0.7472 0.7472 0.0000
0.5000 0.5000 0.0000
0.0000 0.0000 0.0000
```

Summary:
**Raw total energy**: -56.1 eV for the cell shown
**M_tot**: 1.9 μB per cell
**E_form (uncorrected)**: -3037 meV/atom
**N(E_F)**: 10.530 states/eV/cell
**SG**: No. 225

***

[5]
First-principles (PBE) data for a relaxed structure of LaYZr2, as listed in Alexandria via LeMat-Bulk.

Cell and atoms, written as POSCAR:
```
LaYZr2
1.0
5.3782 0.0000 0.0000
2.6891 4.6576 0.0000
2.6891 1.5525 4.3912
La Y Zr
1 1 2
Direct
0.5000 0.5000 0.5000
0.7500 0.7500 0.7500
0.2500 0.2500 0.2500
0.0000 0.0000 0.0000
```

Summary:
**E above lowest polymorph**: 0.1341 eV/atom
**Raw total energy**: -27.5 eV for the cell shown
**M_tot**: 0.0 μB per cell
**Formation energy**: 1.0 eV/f.u.
**N(E_F)**: 7.389 states/eV/cell
**SG**: No. 216

***

[6]
First-principles (PBE) data for a relaxed structure of Co5NiPt2, as listed in Alexandria via LeMat-Bulk.

Cell and atoms, written as POSCAR:
```
Co5NiPt2
1.0
3.6737 0.0000 0.0000
0.0000 5.1779 0.0000
0.0000 0.0000 10.3594
Ni Co Pt
2 10 4
Direct
0.0000 0.5000 0.0000
0.0000 0.0000 0.5000
0.5000 0.7459 0.6257
0.5000 0.2541 0.3743
0.5000 0.7541 0.1257
0.0000 0.5000 0.5000
0.0000 0.0000 0.0000
0.0000 0.4998 0.7468
0.0000 0.5002 0.2532
0.0000 0.0002 0.2468
0.0000 0.9998 0.7532
0.5000 0.2459 0.8743
0.5000 0.7536 0.3756
0.5000 0.7464 0.8756
0.5000 0.2464 0.6244
0.5000 0.2536 0.1244
```

Summary:
**Raw total energy**: -108.0 eV for the cell shown
**M_tot**: 21.4 μB per cell
**Formation energy**: -0.6 eV/f.u.
**N(E_F)**: 18.195 states/eV/cell
**SG**: No. 55

***

[7]
First-principles (PBE) data for a relaxed structure of Ho4GeP2S, as listed in Alexandria via LeMat-Bulk.

Cell and atoms, written as POSCAR:
```
Ho4GeP2S
1.0
-2.5163 -2.9510 -0.8526
0.7469 -2.4996 6.4470
-4.7844 2.8840 4.1380
Ho P Ge S
4 2 1 1
Direct
0.0000 0.7571 0.7458
0.5000 0.7571 0.2458
0.0000 0.2429 0.2542
0.5000 0.2429 0.7542
0.0000 0.0000 0.0000
0.5000 0.0000 0.5000
0.0000 0.5000 0.5000
0.5000 0.5000 0.0000
```

Summary:
**Raw total energy**: -50.2 eV for the cell shown
**M_tot**: 0.0 μB per cell
**E_form (uncorrected)**: -1545 meV/atom
**N(E_F)**: 1.534 states/eV/cell
**SG**: No. 10

***

[8]
First-principles (PBE) data for a relaxed structure of Zr2TlOs, as listed in Alexandria via LeMat-Bulk.

Cell and atoms, written as POSCAR:
```
Zr2TlOs
1.0
-1.2907 -3.1519 3.3920
3.3479 -2.0550 2.7703
0.3404 1.1930 4.6440
Zr Os Tl
2 1 1
Direct
0.0000 0.0000 0.0000
0.2500 0.2500 0.2500
0.5000 0.5000 0.5000
0.7500 0.7500 0.7500
```

Summary:
**E above lowest polymorph**: 0.4051 eV/atom
**Raw total energy**: -30.1 eV for the cell shown
**M_tot**: 0.9 μB per cell
**Formation energy**: 0.6 eV/f.u.
**N(E_F)**: 4.110 states/eV/cell
**SG**: No. 216

***

Q: Number 1 is which compound?
A: BaSrSc2Si

***

Q: Which of these has the highest raw total energy?
A: BaSrSc2Si

***

Q: Which of these has the highest raw total energy?
A: BaSrSc2Si

***

Q: Which formula does entry 3 have?
A: Sm3Cd5Rh2